(1)
Material: PuThAs
Method: DFT, PBE-GGA
State: optimized geometry

Computed properties:
- V: 28.6 Å³/atom
- Relative energy among the computed polymorphs: 0.000 eV per atom
- Total energy: -9.207 eV/atom

```
data_PuThAs
_chemical_formula_sum 'Pu4 Th4 As4'
_symmetry_space_group_name_H-M 'F -4 3 m'
_symmetry_Int_Tables_number 216
_symmetry_space_group_name_Hall 'F -4 2 3'
_cell_length_a 6.998
_cell_length_b 6.998
_cell_length_c 6.998
_cell_angle_alpha 90.00
_cell_angle_beta 90.00
_cell_angle_gamma 90.00
loop_
_atom_site_label
_atom_site_fract_x
_atom_site_fract_y
_atom_site_fract_z
_atom_site_occupancy
Pu1 0.000 0.000 0.000 1
Th1 0.000 0.000 0.500 1
As1 0.250 0.250 0.250 1
```



(2)
Material: Pu2ZnAs4
Method: DFT, PBE-GGA
State: optimized geometry

Computed properties:
- V: 21.5 Å³/atom
- Total energy: -7.588 eV/atom

```
data_Pu2ZnAs4
_chemical_formula_sum 'Pu2 Zn1 As4'
_symmetry_space_group_name_H-M 'P -4 m 2'
_symmetry_Int_Tables_number 115
_symmetry_space_group_name_Hall 'P -4 -2'
_cell_length_a 3.938
_cell_length_b 3.938
_cell_length_c 9.724
_cell_angle_alpha 90.00
_cell_angle_beta 90.00
_cell_angle_gamma 90.00
loop_
_atom_site_label
_atom_site_fract_x
_atom_site_fract_y
_atom_site_fract_z
_atom_site_occupancy
Pu1 0.000 0.500 0.237 1
Zn1 0.000 0.000 0.500 1
As1 0.000 0.000 0.000 1
As2 0.000 0.500 0.665 1
As3 0.500 0.500 0.000 1
```



(3)
Material: Rb2ReAs2
Method: DFT, PBE-GGA
State: optimized geometry

Computed properties:
- V: 30.7 Å³/atom
- Total energy: -4.739 eV/atom

```
data_Rb2ReAs2
_chemical_formula_sum 'Rb8 Re4 As8'
_symmetry_space_group_name_H-M 'C m c m'
_symmetry_Int_Tables_number 63
_symmetry_space_group_name_Hall '-C 2c 2'
_cell_length_a 6.939
_cell_length_b 16.848
_cell_length_c 5.255
_cell_angle_alpha 90.00
_cell_angle_beta 90.00
_cell_angle_gamma 90.00
loop_
_atom_site_label
_atom_site_fract_x
_atom_site_fract_y
_atom_site_fract_z
_atom_site_occupancy
Rb1 0.000 0.073 0.250 1
Rb2 0.000 0.282 0.750 1
Re1 0.000 0.500 0.000 1
As1 0.183 0.392 0.250 1
```



(4)
Material: Rb2Zn2SbAs
Method: DFT, PBE-GGA
State: optimized geometry

Computed properties:
- V: 32.1 Å³/atom
- Total energy: -2.607 eV/atom

```
data_Rb2Zn2SbAs
_chemical_formula_sum 'Rb2 Zn2 Sb1 As1'
_symmetry_space_group_name_H-M 'P -6 m 2'
_symmetry_Int_Tables_number 187
_symmetry_space_group_name_Hall 'P -6 2'
_cell_length_a 4.4618
_cell_length_b 4.4618
_cell_length_c 11.1765
_cell_angle_alpha 90.00
_cell_angle_beta 90.00
_cell_angle_gamma 120.00
loop_
_atom_site_label
_atom_site_fract_x
_atom_site_fract_y
_atom_site_fract_z
_atom_site_occupancy
Rb1 0.0000 0.0000 0.2428 1
Zn1 0.3333 0.6667 0.5000 1
Zn2 0.6667 0.3333 0.0000 1
Sb1 0.6667 0.3333 0.5000 1
As1 0.3333 0.6667 0.0000 1
```



(5)
Material: RbTbAsSe3
Method: DFT, PBE-GGA
State: optimized geometry

Computed properties:
- V: 32.2 Å³/atom
- Total energy: -4.470 eV/atom

```
data_RbTbAsSe3
_chemical_formula_sum 'Rb4 Tb4 As4 Se12'
_symmetry_space_group_name_H-M 'C m c m'
_symmetry_Int_Tables_number 63
_symmetry_space_group_name_Hall '-C 2c 2'
_cell_length_a 4.385
_cell_length_b 15.087
_cell_length_c 11.687
_cell_angle_alpha 90.00
_cell_angle_beta 90.00
_cell_angle_gamma 90.00
loop_
_atom_site_label
_atom_site_fract_x
_atom_site_fract_y
_atom_site_fract_z
_atom_site_occupancy
Rb1 0.000 0.226 0.250 1
Tb1 0.000 0.500 0.000 1
As1 0.000 0.083 0.750 1
Se1 0.000 0.125 0.523 1
Se2 0.000 0.497 0.750 1
```



(6)
Material: RbTmAsSe3
Method: DFT, PBE-GGA
State: optimized geometry

Computed properties:
- V: 32.0 Å³/atom
- Total energy: -4.434 eV/atom

```
data_RbTmAsSe3
_chemical_formula_sum 'Rb4 Tm4 As4 Se12'
_symmetry_space_group_name_H-M 'C m c m'
_symmetry_Int_Tables_number 63
_symmetry_space_group_name_Hall '-C 2c 2'
_cell_length_a 4.330
_cell_length_b 15.450
_cell_length_c 11.494
_cell_angle_alpha 90.00
_cell_angle_beta 90.00
_cell_angle_gamma 90.00
loop_
_atom_site_label
_atom_site_fract_x
_atom_site_fract_y
_atom_site_fract_z
_atom_site_occupancy
Rb1 0.000 0.226 0.250 1
Tm1 0.000 0.500 0.000 1
As1 0.000 0.087 0.750 1
Se1 0.000 0.120 0.516 1
Se2 0.000 0.498 0.250 1
```



(7)
Material: RbZrAsSe3
Method: DFT, PBE-GGA
State: optimized geometry

Computed properties:
- V: 27.1 Å³/atom
- Total energy: -4.795 eV/atom

```
data_RbZrAsSe3
_chemical_formula_sum 'Rb4 Zr4 As4 Se12'
_symmetry_space_group_name_H-M 'C m c m'
_symmetry_Int_Tables_number 63
_symmetry_space_group_name_Hall '-C 2c 2'
_cell_length_a 3.847
_cell_length_b 16.950
_cell_length_c 9.962
_cell_angle_alpha 90.00
_cell_angle_beta 90.00
_cell_angle_gamma 90.00
loop_
_atom_site_label
_atom_site_fract_x
_atom_site_fract_y
_atom_site_fract_z
_atom_site_occupancy
Rb1 0.000 0.236 0.250 1
Zr1 0.000 0.000 0.000 1
As1 0.000 0.467 0.750 1
Se1 0.000 0.092 0.750 1
Se2 0.000 0.382 0.528 1
```



(8)
Material: RbSm4As3
Method: DFT, PBE-GGA
State: optimized geometry

Computed properties:
- V: 34.1 Å³/atom
- Total energy: -5.029 eV/atom

```
data_RbSm4As3
_chemical_formula_sum 'Rb1 Sm4 As3'
_symmetry_space_group_name_H-M 'P 4/m m m'
_symmetry_Int_Tables_number 123
_symmetry_space_group_name_Hall '-P 4 2'
_cell_length_a 4.963
_cell_length_b 4.963
_cell_length_c 11.083
_cell_angle_alpha 90.00
_cell_angle_beta 90.00
_cell_angle_gamma 90.00
loop_
_atom_site_label
_atom_site_fract_x
_atom_site_fract_y
_atom_site_fract_z
_atom_site_occupancy
Rb1 0.000 0.000 0.000 1
Sm1 0.000 0.500 0.338 1
As1 0.000 0.000 0.500 1
As2 0.500 0.500 0.201 1
```



(9)
Material: Rb3SmAs2
Method: DFT, PBE-GGA
State: optimized geometry

Computed properties:
- V: 48.0 Å³/atom
- Total energy: -3.037 eV/atom

```
data_Rb3SmAs2
_chemical_formula_sum 'Rb12 Sm4 As8'
_symmetry_space_group_name_H-M 'C 1 2/c 1'
_symmetry_Int_Tables_number 15
_symmetry_space_group_name_Hall '-C 2yc'
_cell_length_a 11.726
_cell_length_b 11.433
_cell_length_c 8.664
_cell_angle_alpha 90.00
_cell_angle_beta 97.24
_cell_angle_gamma 90.00
loop_
_atom_site_label
_atom_site_fract_x
_atom_site_fract_y
_atom_site_fract_z
_atom_site_occupancy
Rb1 0.000 0.193 0.250 1
Rb2 0.211 0.461 0.978 1
Sm1 0.000 0.197 0.750 1
As1 0.186 0.246 0.603 1
```



(10)
Material: RbSmTe3As
Method: DFT, PBE-GGA
State: optimized geometry

Computed properties:
- V: 37.5 Å³/atom
- Total energy: -4.028 eV/atom

```
data_RbSmTe3As
_chemical_formula_sum 'Rb4 Sm4 Te12 As4'
_symmetry_space_group_name_H-M 'C m c m'
_symmetry_Int_Tables_number 63
_symmetry_space_group_name_Hall '-C 2c 2'
_cell_length_a 4.590
_cell_length_b 17.669
_cell_length_c 11.083
_cell_angle_alpha 90.00
_cell_angle_beta 90.00
_cell_angle_gamma 90.00
loop_
_atom_site_label
_atom_site_fract_x
_atom_site_fract_y
_atom_site_fract_z
_atom_site_occupancy
Rb1 0.000 0.238 0.250 1
Sm1 0.000 0.000 0.000 1
Te1 0.000 0.095 0.750 1
Te2 0.000 0.378 0.548 1
As1 0.000 0.465 0.750 1
```



(11)
Material: RbTa3As5
Method: DFT, PBE-GGA
State: optimized geometry

Computed properties:
- V: 25.1 Å³/atom
- Total energy: -6.970 eV/atom

```
data_RbTa3As5
_chemical_formula_sum 'Rb1 Ta3 As5'
_symmetry_space_group_name_H-M 'P 6/m m m'
_symmetry_Int_Tables_number 191
_symmetry_space_group_name_Hall '-P 6 2'
_cell_length_a 5.6722
_cell_length_b 5.6722
_cell_length_c 8.1057
_cell_angle_alpha 90.00
_cell_angle_beta 90.00
_cell_angle_gamma 120.00
loop_
_atom_site_label
_atom_site_fract_x
_atom_site_fract_y
_atom_site_fract_z
_atom_site_occupancy
Rb1 0.0000 0.0000 0.0000 1
Ta1 0.0000 0.5000 0.5000 1
As1 0.0000 0.0000 0.5000 1
As2 0.3333 0.6667 0.2405 1
```



(12)
Material: RbTaAs
Method: DFT, PBE-GGA
State: optimized geometry

Computed properties:
- V: 31.2 Å³/atom
- Total energy: -3.647 eV/atom

```
data_RbTaAs
_chemical_formula_sum 'Rb4 Ta4 As4'
_symmetry_space_group_name_H-M 'F -4 3 m'
_symmetry_Int_Tables_number 216
_symmetry_space_group_name_Hall 'F -4 2 3'
_cell_length_a 7.209
_cell_length_b 7.209
_cell_length_c 7.209
_cell_angle_alpha 90.00
_cell_angle_beta 90.00
_cell_angle_gamma 90.00
loop_
_atom_site_label
_atom_site_fract_x
_atom_site_fract_y
_atom_site_fract_z
_atom_site_occupancy
Rb1 0.000 0.000 0.000 1
Ta1 0.250 0.250 0.250 1
As1 0.250 0.250 0.750 1
```



(13)
Material: RbTaAs
Method: DFT, PBE-GGA
State: optimized geometry

Computed properties:
- V: 28.8 Å³/atom
- Total energy: -4.649 eV/atom

```
data_RbTaAs
_chemical_formula_sum 'Rb4 Ta4 As4'
_symmetry_space_group_name_H-M 'F -4 3 m'
_symmetry_Int_Tables_number 216
_symmetry_space_group_name_Hall 'F -4 2 3'
_cell_length_a 7.020
_cell_length_b 7.020
_cell_length_c 7.020
_cell_angle_alpha 90.00
_cell_angle_beta 90.00
_cell_angle_gamma 90.00
loop_
_atom_site_label
_atom_site_fract_x
_atom_site_fract_y
_atom_site_fract_z
_atom_site_occupancy
Rb1 0.000 0.000 0.000 1
Ta1 0.000 0.000 0.500 1
As1 0.250 0.250 0.250 1
```



(14)
Material: RbTcAs
Method: DFT, PBE-GGA
State: optimized geometry

Computed properties:
- V: 23.2 Å³/atom
- Relative energy among the computed polymorphs: 0.000 eV per atom
- Total energy: -4.221 eV/atom

```
data_RbTcAs
_chemical_formula_sum 'Rb4 Tc4 As4'
_symmetry_space_group_name_H-M 'F -4 3 m'
_symmetry_Int_Tables_number 216
_symmetry_space_group_name_Hall 'F -4 2 3'
_cell_length_a 6.526
_cell_length_b 6.526
_cell_length_c 6.526
_cell_angle_alpha 90.00
_cell_angle_beta 90.00
_cell_angle_gamma 90.00
loop_
_atom_site_label
_atom_site_fract_x
_atom_site_fract_y
_atom_site_fract_z
_atom_site_occupancy
Rb1 0.000 0.000 0.000 1
Tc1 0.250 0.250 0.750 1
As1 0.000 0.000 0.500 1
```



(15)
Material: Rb2TcAs2
Method: DFT, PBE-GGA
State: optimized geometry

Computed properties:
- V: 31.3 Å³/atom
- Total energy: -4.423 eV/atom

```
data_Rb2TcAs2
_chemical_formula_sum 'Rb8 Tc4 As8'
_symmetry_space_group_name_H-M 'C m c m'
_symmetry_Int_Tables_number 63
_symmetry_space_group_name_Hall '-C 2c 2'
_cell_length_a 6.863
_cell_length_b 15.908
_cell_length_c 5.740
_cell_angle_alpha 90.00
_cell_angle_beta 90.00
_cell_angle_gamma 90.00
loop_
_atom_site_label
_atom_site_fract_x
_atom_site_fract_y
_atom_site_fract_z
_atom_site_occupancy
Rb1 0.000 0.083 0.250 1
Rb2 0.000 0.288 0.750 1
Tc1 0.000 0.500 0.000 1
As1 0.184 0.392 0.250 1
```



(16)
Material: RbTcAs
Method: DFT, PBE-GGA
State: optimized geometry

Computed properties:
- V: 30.4 Å³/atom
- Relative energy among the computed polymorphs: 0.095 eV per atom
- Total energy: -4.126 eV/atom

```
data_RbTcAs
_chemical_formula_sum 'Rb4 Tc4 As4'
_symmetry_space_group_name_H-M 'F -4 3 m'
_symmetry_Int_Tables_number 216
_symmetry_space_group_name_Hall 'F -4 2 3'
_cell_length_a 7.143
_cell_length_b 7.143
_cell_length_c 7.143
_cell_angle_alpha 90.00
_cell_angle_beta 90.00
_cell_angle_gamma 90.00
loop_
_atom_site_label
_atom_site_fract_x
_atom_site_fract_y
_atom_site_fract_z
_atom_site_occupancy
Rb1 0.000 0.000 0.000 1
Tc1 0.000 0.000 0.500 1
As1 0.250 0.250 0.250 1
```



(17)
Material: RbTcAs
Method: DFT, PBE-GGA
State: optimized geometry

Computed properties:
- V: 32.1 Å³/atom
- Relative energy among the computed polymorphs: 0.857 eV per atom
- Total energy: -3.364 eV/atom

```
data_RbTcAs
_chemical_formula_sum 'Rb4 Tc4 As4'
_symmetry_space_group_name_H-M 'F -4 3 m'
_symmetry_Int_Tables_number 216
_symmetry_space_group_name_Hall 'F -4 2 3'
_cell_length_a 7.280
_cell_length_b 7.280
_cell_length_c 7.280
_cell_angle_alpha 90.00
_cell_angle_beta 90.00
_cell_angle_gamma 90.00
loop_
_atom_site_label
_atom_site_fract_x
_atom_site_fract_y
_atom_site_fract_z
_atom_site_occupancy
Rb1 0.000 0.000 0.000 1
Tc1 0.250 0.250 0.250 1
As1 0.250 0.250 0.750 1
```



(18)
Material: RbTlZn2As2
Method: DFT, PBE-GGA
State: optimized geometry

Computed properties:
- V: 27.4 Å³/atom
- Total energy: -2.806 eV/atom

```
data_RbTlZn2As2
_chemical_formula_sum 'Rb1 Tl1 Zn2 As2'
_symmetry_space_group_name_H-M 'P -3 m 1'
_symmetry_Int_Tables_number 164
_symmetry_space_group_name_Hall '-P 3 2"'
_cell_length_a 4.2587
_cell_length_b 4.2587
_cell_length_c 10.4860
_cell_angle_alpha 90.00
_cell_angle_beta 90.00
_cell_angle_gamma 120.00
loop_
_atom_site_label
_atom_site_fract_x
_atom_site_fract_y
_atom_site_fract_z
_atom_site_occupancy
Rb1 0.0000 0.0000 0.0000 1
Tl1 0.0000 0.0000 0.5000 1
Zn1 0.3333 0.6667 0.7334 1
As1 0.3333 0.6667 0.2570 1
```



(19)
Material: RbTm4As3
Method: DFT, PBE-GGA
State: optimized geometry

Computed properties:
- V: 30.7 Å³/atom
- Total energy: -4.887 eV/atom

```
data_RbTm4As3
_chemical_formula_sum 'Rb1 Tm4 As3'
_symmetry_space_group_name_H-M 'P 4/m m m'
_symmetry_Int_Tables_number 123
_symmetry_space_group_name_Hall '-P 4 2'
_cell_length_a 4.768
_cell_length_b 4.768
_cell_length_c 10.784
_cell_angle_alpha 90.00
_cell_angle_beta 90.00
_cell_angle_gamma 90.00
loop_
_atom_site_label
_atom_site_fract_x
_atom_site_fract_y
_atom_site_fract_z
_atom_site_occupancy
Rb1 0.000 0.000 0.000 1
Tm1 0.000 0.500 0.341 1
As1 0.000 0.000 0.500 1
As2 0.500 0.500 0.202 1
```



(20)
Material: Rb3TmAs2
Method: DFT, PBE-GGA
State: optimized geometry

Computed properties:
- V: 45.8 Å³/atom
- Total energy: -3.015 eV/atom

```
data_Rb3TmAs2
_chemical_formula_sum 'Rb12 Tm4 As8'
_symmetry_space_group_name_H-M 'C 1 2/c 1'
_symmetry_Int_Tables_number 15
_symmetry_space_group_name_Hall '-C 2yc'
_cell_length_a 11.608
_cell_length_b 11.260
_cell_length_c 8.471
_cell_angle_alpha 90.00
_cell_angle_beta 97.35
_cell_angle_gamma 90.00
loop_
_atom_site_label
_atom_site_fract_x
_atom_site_fract_y
_atom_site_fract_z
_atom_site_occupancy
Rb1 0.000 0.187 0.250 1
Rb2 0.207 0.457 0.981 1
Tm1 0.000 0.196 0.750 1
As1 0.187 0.245 0.611 1
```